# 1
Here is crystalline CoPO2F at its relaxed geometry from Alexandria. Energies are from GGA+U.

Unit cell a=3.666 b=3.666 c=4.074 alpha=90.00 beta=90.00 gamma=90.00
Space group P4/mmm (No. 123)
One atom of each set of equivalent atoms:
1 Co 0.000 0.000 0.000 [1 per cell]
2 P 0.500 0.500 0.500 [1 per cell]
3 O 0.000 0.500 0.500 [2 per cell]
4 F 0.500 0.500 0.000 [1 per cell]

Properties
The calculation puts the uncorrected energy at -5.077 eV/atom. Its crystal system is tetragonal.



# 2
Here is crystalline CoPO2F at its relaxed geometry from Alexandria. Energies are from GGA+U.

Unit cell a=3.782 b=3.782 c=3.683 alpha=90.00 beta=90.00 gamma=90.00
Space group P4/mmm (No. 123)
One atom of each set of equivalent atoms:
1 Co 0.000 0.000 0.000 [1 per cell]
2 P 0.500 0.500 0.500 [1 per cell]
3 O 0.000 0.500 0.000 [2 per cell]
4 F 0.000 0.000 0.500 [1 per cell]

Properties
The calculation puts the uncorrected energy at -4.676 eV/atom. Its crystal system is tetragonal.



# 3
Here is crystalline CoPO4F at its relaxed geometry from Alexandria. Energies are from GGA+U.

Unit cell a=5.057 b=5.228 c=7.116 alpha=108.34 beta=106.49 gamma=98.44
Space group P-1 (No. 2)
One atom of each set of equivalent atoms:
1 Co 0.000 0.000 0.000 [1 per cell]
2 Co 0.500 0.500 0.500 [1 per cell]
3 P 0.061 0.401 0.738 [2 per cell]
4 O 0.136 0.198 0.852 [2 per cell]
5 O 0.175 0.706 0.894 [2 per cell]
6 O 0.197 0.337 0.564 [2 per cell]
7 O 0.271 0.690 0.374 [2 per cell]
8 F 0.373 0.194 0.249 [2 per cell]

Properties
The calculation puts the uncorrected energy at -6.123 eV/atom. Its crystal system is triclinic.